The following is a GGA-PBE calculation of crystalline Y5C3 at its relaxed geometry, from Alexandria via LeMat-Bulk.

```
Y5C3
1.0
7.3270 0.0000 0.0000
-3.6635 6.3453 0.0000
0.0000 0.0000 6.3721
Y C
10 6
Direct
0.0000 0.2493 0.2500
0.0000 0.7507 0.7500
0.2493 0.0000 0.2500
0.2493 0.2493 0.7500
0.3333 0.6667 0.0000
0.3333 0.6667 0.5000
0.6667 0.3333 0.0000
0.6667 0.3333 0.5000
0.7507 0.0000 0.7500
0.7507 0.7507 0.2500
0.0000 0.4016 0.7500
0.0000 0.5984 0.2500
0.4016 0.0000 0.7500
0.4016 0.4016 0.2500
0.5984 0.0000 0.2500
0.5984 0.5984 0.7500
```

Properties
E_form: 0.070 eV/atom
Raw total energy: -7.429 eV/atom
E above lowest polymorph: 0.000 eV per atom
DOS at the Fermi energy: 0.7277 states/eV per atom
Symmetry: No. 193
Crystal system: hexagonal